No. 1
VASP calculation (PBE) on a relaxed Zr2BTeMo crystal.

## Properties
DFT total energy	-7.045	eV/atom
spin magnetization	0.000	μB per formula unit
symmetry	P4/mmm (123)
energy relative to the elements, uncorrected	0.504	eV per atom

Cell and atoms, written as POSCAR:
```
Zr2BTeMo
1.0
5.158 0.000 0.000
0.000 4.078 0.000
0.000 0.000 5.158
Mo Te B Zr
1 1 1 2
Cartesian
0.000 0.000 0.000 Mo
2.579 2.039 2.579 Te
0.000 2.039 0.000 B
0.000 0.000 2.579 Zr
2.579 0.000 0.000 Zr
```

No. 2
VASP calculation (PBE) on a relaxed Th2B10Mo crystal.

## Properties
DFT total energy	-7.569	eV/atom
formation energy from the elements	-0.457	eV per atom
spin magnetization	0.000	μB per formula unit
symmetry	Pbam (55)

Cell and atoms, written as POSCAR:
```
Th2B10Mo
1.0
4.208 0.000 0.000
0.000 5.826 0.000
0.000 0.000 11.596
Th B Mo
4 20 2
Cartesian
2.104 1.580 10.071 Th
2.104 4.246 1.525 Th
2.104 4.493 7.323 Th
2.104 1.333 4.273 Th
0.000 0.677 6.291 B
0.000 5.148 5.305 B
0.000 3.590 11.102 B
0.000 2.236 0.493 B
0.000 0.693 8.088 B
0.000 5.132 3.508 B
1.260 1.366 1.402 B
1.260 4.460 10.194 B
2.949 4.279 4.396 B
2.949 1.547 7.200 B
2.949 4.460 10.194 B
2.949 1.366 1.402 B
1.260 1.547 7.200 B
1.260 4.279 4.396 B
0.000 0.429 2.258 B
0.000 5.397 9.338 B
0.000 3.342 3.540 B
0.000 2.484 8.056 B
0.000 2.219 2.290 B
0.000 3.606 9.306 B
0.000 2.913 5.798 Mo
0.000 0.000 0.000 Mo
```

No. 3
VASP calculation (PBE) on a relaxed ThB4Mo4 crystal.

## Properties
DFT total energy	-8.915	eV/atom
formation energy from the elements	-0.309	eV per atom
spin magnetization	0.000	μB per formula unit
symmetry	P4_2/n (86)

Cell and atoms, written as POSCAR:
```
ThB4Mo4
1.0
-2.353 2.247 -2.908
-5.385 1.099 5.206
3.413 6.396 2.180
Th B Mo
2 8 8
Cartesian
0.000 0.000 0.000 Th
-2.163 4.871 2.239 Th
-4.896 4.355 3.125 B
-0.096 6.023 0.530 B
-2.418 5.514 5.289 B
-1.007 7.491 0.981 B
-5.005 3.861 1.412 B
-1.942 2.254 0.965 B
-1.717 6.852 4.336 B
-0.221 2.617 1.274 B
0.148 6.778 2.770 Mo
-2.448 8.170 2.672 Mo
-3.806 2.327 2.532 Mo
1.102 4.489 1.649 Mo
-4.040 6.442 4.045 Mo
-3.741 3.642 4.913 Mo
-3.564 3.182 -0.278 Mo
-0.952 3.936 -0.391 Mo
```